Entry 1:
Material: CsH
Method: DFT, PBEsol
State: relaxed

Results
Its crystal system is cubic. The calculation puts the calculated total energy at -4.55 eV for the cell shown. As for the density of states at the Fermi level: 0.0 states/eV per cell.

a b c (Å): 3.7034 3.7034 3.7034
angles (deg): 90.00 90.00 90.00
Fractional coordinates of all 2 atoms:
H (0.5000, 0.5000, 0.5000)
Cs (0.0000, 0.0000, 0.0000)


Entry 2:
Material: AsIr2W
Method: DFT, PBEsol
State: relaxed

Results
Its crystal system is orthorhombic. The value obtained for the formation energy is 16.6 kJ per mole of atoms. The calculation puts the calculated total energy at -37.87 eV for the cell shown. As for the density of states at the Fermi level: 2.0 states/eV per cell.

a b c (Å): 2.8274 4.5512 4.5836
angles (deg): 89.94 90.00 90.00
Fractional coordinates of all 4 atoms:
Ir (0.0000, 0.0000, 0.0000)
W (0.5000, 0.5000, 0.0000)
As (0.0000, 0.5000, 0.5000)
Ir (0.5000, 0.0000, 0.5000)


Entry 3:
Material: Ba3Si2As4
Method: DFT, PBEsol
State: relaxed

Results
Its crystal system is monoclinic. For the energy relative to the elements, uncorrected, the calculation gives -0.799 eV/atom. The calculation puts the calculated total energy at -91.12 eV for the cell shown.

a b c (Å): 7.6989 8.4186 9.9422
angles (deg): 107.81 104.99 107.68
Fractional coordinates of all 18 atoms:
Ba (0.6930, 0.9430, 0.8860)
As (0.2448, 0.9525, 0.3957)
Ba (0.3070, 0.0570, 0.1140)
As (0.3492, 0.5568, 0.6043)
As (0.6508, 0.4432, 0.3957)
Ba (0.9396, 0.1896, 0.3793)
As (0.0855, 0.3314, 0.1424)
As (0.7552, 0.0475, 0.6043)
As (0.5569, 0.8110, 0.1424)
Si (0.4859, 0.8300, 0.3622)
Si (0.6237, 0.4678, 0.6378)
Ba (0.8163, 0.5663, 0.1326)
Ba (0.0604, 0.8104, 0.6207)
Si (0.5141, 0.1700, 0.6378)
Si (0.3763, 0.5322, 0.3622)
As (0.4431, 0.1890, 0.8576)
As (0.9145, 0.6686, 0.8576)
Ba (0.1837, 0.4337, 0.8674)


Entry 4:
Material: CrFe3
Method: DFT, PBEsol
State: relaxed

Results
Its crystal system is cubic. The value obtained for the formation energy is 7.2 kJ per mole of atoms. The calculation puts the calculated total energy at -36.83 eV for the cell shown. As for the density of states at the Fermi level: 4.2 states/eV per cell.

a b c (Å): 3.9316 3.9316 3.9316
angles (deg): 60.00 60.00 60.00
Site moments in Bohr magnetons follow the coordinates.
Fractional coordinates of all 4 atoms:
Fe (0.2500, 0.2500, 0.2500)  1.76
Fe (0.7500, 0.7500, 0.7500)  1.76
Fe (0.5000, 0.5000, 0.5000)  2.25
Cr (0.0000, 0.0000, 0.0000)  -0.48


Entry 5:
Material: ZnFeNi2
Method: DFT, PBEsol
State: relaxed

Results
Its crystal system is tetragonal. The value obtained for the formation energy is -6.7 kJ per mole of atoms. The calculation puts the calculated total energy at -23.14 eV for the cell shown. As for the density of states at the Fermi level: 3.2 states/eV per cell.

a b c (Å): 3.4992 3.4992 4.4072
angles (deg): 113.39 113.39 90.00
Site moments in Bohr magnetons follow the coordinates.
Fractional coordinates of all 4 atoms:
Ni (0.0000, 0.0000, 0.0000)  0.51
Fe (0.2500, 0.7500, 0.5000)  2.65
Zn (0.5000, 0.5000, 0.0000)  -0.04
Ni (0.7500, 0.2500, 0.5000)  0.50


Entry 6:
Material: Cs2BiC
Method: DFT, PBEsol
State: relaxed

Results
Its crystal system is cubic. The value obtained for the formation energy is 133.1 kJ per mole of atoms. The calculation puts the calculated total energy at -10.30 eV for the cell shown. As for the density of states at the Fermi level: 3.7 states/eV per cell.

a b c (Å): 6.1251 6.1251 6.1251
angles (deg): 60.00 60.00 60.00
Site moments in Bohr magnetons follow the coordinates.
Fractional coordinates of all 4 atoms:
Cs (0.2500, 0.2500, 0.2500)  -0.02
C (0.0000, 0.0000, 0.0000)  1.02
Bi (0.5000, 0.5000, 0.5000)  -0.82
Cs (0.7500, 0.7500, 0.7500)  -0.02


Entry 7:
Material: ZrSi2Hg
Method: DFT, PBEsol
State: relaxed

Results
Its crystal system is monoclinic. The offset from the most stable computed form comes out at 216.2 meV/atom. For the energy relative to the elements, uncorrected, the calculation gives -0.014 eV/atom. The calculation puts the calculated total energy at -21.21 eV for the cell shown. As for the density of states at the Fermi level: 2.1 states/eV per cell.

a b c (Å): 3.0297 5.3999 5.3999
angles (deg): 113.67 104.16 104.16
Fractional coordinates of all 4 atoms:
Zr (0.5000, 0.5000, 0.5000)
Si (0.0000, 0.5000, 0.0000)
Hg (0.5000, 0.0000, 0.0000)
Si (0.0000, 0.0000, 0.5000)


Entry 8:
Material: KBa2La
Method: DFT, PBEsol
State: relaxed

Results
Its crystal system is tetragonal. The offset from the most stable computed form comes out at 86.8 meV/atom. The value obtained for the formation energy is 25.7 kJ per mole of atoms. The calculation puts the calculated total energy at -9.71 eV for the cell shown. As for the density of states at the Fermi level: 5.7 states/eV per cell.

a b c (Å): 4.2204 6.8860 6.8860
angles (deg): 90.00 90.00 90.00
Fractional coordinates of all 4 atoms:
Ba (0.0000, 0.0000, 0.5000)
La (0.5000, 0.0000, 0.0000)
Ba (0.0000, 0.5000, 0.0000)
K (0.5000, 0.5000, 0.5000)